Entry from Alexandria via LeMat-Bulk: an optimized crystal structure of Na3MgNi2F9 (PBE+U).

Output
- symmetry = No. 164
- volume (Å³ per cell) = 188
- raw total energy (Ha/atom) = -0.1649

a b c (Å): 5.6146 5.6146 6.8850
angles (deg): 90.00 90.00 120.00
Atoms (fractional coordinates):
Na 0.0000 0.0000 0.0000
Na 0.3333 0.6667 0.6834
Na 0.6667 0.3333 0.3166
Mg 0.0000 0.0000 0.5000
Ni 0.3333 0.6667 0.1710
Ni 0.6667 0.3333 0.8290
F 0.0000 0.5000 0.0000
F 0.1646 0.3292 0.3335
F 0.1646 0.8354 0.3335
F 0.3292 0.1646 0.6665
F 0.5000 0.0000 0.0000
F 0.5000 0.5000 0.0000
F 0.6708 0.8354 0.3335
F 0.8354 0.1646 0.6665
F 0.8354 0.6708 0.6665